Entry one
HfScPO: optimized geometry, PBE.

The calculation puts the calculated volume at 131.0 Å³ per cell. Its space group is P4/nmm, No. 129.

Lattice parameters (Å, degrees): 4.060 4.060 7.947 90.00 90.00 90.00
Element x y z (fractional)
Hf: 0.750 0.250 0.500
Hf: 0.250 0.750 0.500
O: 0.750 0.250 0.000
O: 0.250 0.750 0.000
P: 0.750 0.750 0.302
P: 0.250 0.250 0.698
Sc: 0.250 0.250 0.100
Sc: 0.750 0.750 0.900

---

Entry two
HfScPO: optimized geometry, PBE.

The calculation puts the calculated volume at 135.2 Å³ per cell. Its space group is Pmc2_1, No. 26.

Lattice parameters (Å, degrees): 4.000 6.880 4.914 90.00 90.00 90.00
Element x y z (fractional)
Hf: 0.000 0.259 0.438
Hf: 0.000 0.741 0.938
O: 0.500 0.340 0.439
O: 0.500 0.660 0.939
P: 0.000 0.880 0.438
P: 0.000 0.120 0.938
Sc: 0.500 0.650 0.439
Sc: 0.500 0.350 0.939

---

Unit: eV/atom. Relative energies: entry one 0.060; entry two 0.000.

---

Entry one
HfSnPO: optimized geometry, PBE.

The calculation puts the calculated volume at 141.2 Å³ per cell. Its space group is P4/nmm, No. 129.

Lattice parameters (Å, degrees): 3.747 3.747 10.054 90.00 90.00 90.00
Element x y z (fractional)
Hf: 0.250 0.250 0.115
Hf: 0.750 0.750 0.885
O: 0.750 0.250 0.000
O: 0.250 0.750 0.000
P: 0.750 0.750 0.246
P: 0.250 0.250 0.754
Sn: 0.750 0.250 0.500
Sn: 0.250 0.750 0.500

---

Entry two
HfSnPO: optimized geometry, PBE.

The calculation puts the calculated volume at 163.4 Å³ per cell. Its space group is Pmc2_1, No. 26.

Lattice parameters (Å, degrees): 3.830 8.006 5.330 90.00 90.00 90.00
Element x y z (fractional)
Hf: 0.000 0.139 0.431
Hf: 0.000 0.861 0.931
O: 0.500 0.205 0.427
O: 0.500 0.795 0.927
P: 0.000 0.816 0.427
P: 0.000 0.184 0.927
Sn: 0.500 0.593 0.469
Sn: 0.500 0.407 0.969

---

Entry three
HfSnPO: optimized geometry, PBE.

The calculation puts the calculated volume at 191.0 Å³ per cell. Its space group is Pmc2_1, No. 26.

Lattice parameters (Å, degrees): 3.864 7.930 6.233 90.00 90.00 90.00
Element x y z (fractional)
Hf: 0.500 0.645 0.490
Hf: 0.500 0.355 0.990
O: 0.500 0.490 0.250
O: 0.500 0.510 0.750
P: 0.000 0.847 0.475
P: 0.000 0.153 0.975
Sn: 0.000 0.823 0.038
Sn: 0.000 0.177 0.538

---

Entry four
HfSnPO: optimized geometry, PBE.

The calculation puts the calculated volume at 140.7 Å³ per cell. Its space group is P4/nmm, No. 129.

Lattice parameters (Å, degrees): 4.438 4.438 7.146 90.00 90.00 90.00
Element x y z (fractional)
Hf: 0.000 0.000 0.500
Hf: 0.500 0.500 0.500
O: 0.000 0.000 0.000
O: 0.500 0.500 0.000
P: 0.500 0.000 0.320
P: 0.000 0.500 0.680
Sn: 0.000 0.500 0.105
Sn: 0.500 0.000 0.895

---

Unit: eV/atom. Relative energies: entry one 0.160; entry two 0.000; entry three 0.033; entry four 0.475.